First-principles (GGA-PBE) data for a relaxed structure of Pm2PuSi6, as listed in the Alexandria database.

Structure (extended XYZ):
```
9
Lattice="4.050 0.000 0.000 0.000 6.133 -3.541 0.000 0.000 7.082" Properties=species:S:1:pos:R:3 pbc="T T T"
Pm 0.000 2.044 3.541
Pm 4.050 4.089 0.000
Pu 0.000 0.000 7.082
Si 2.025 2.033 1.174
Si 2.025 4.100 2.367
Si 2.025 0.000 4.735
Si 2.025 4.100 4.715
Si 2.025 2.033 -1.174
Si 2.025 6.133 -1.194
```

Values from the calculation:
- ΔE to the lowest computed polymorph (meV/atom) = 0
- uncorrected formation energy (eV/atom) = -0.554
- crystal system = hexagonal
- total magnetization (μB per cell) = 5.08
- DOS at the Fermi energy (states/eV per atom) = 0.987



First-principles (GGA-PBE) data for a relaxed structure of PmPuSi2, as listed in the Alexandria database.

Structure (extended XYZ):
```
4
Lattice="-2.255 1.532 -2.971 0.662 -3.875 -2.501 -3.805 -1.886 1.915" Properties=species:S:1:pos:R:3 pbc="T T T"
Si -1.903 -0.943 0.957
Si 0.331 -1.937 -1.250
Pm -2.699 -2.114 -1.778
Pu -1.127 0.766 -1.485
```

Values from the calculation:
- uncorrected formation energy (eV/atom) = -0.345
- crystal system = tetragonal
- total magnetization (μB per cell) = 5.59
- DOS at the Fermi energy (states/eV per atom) = 2.261



First-principles (GGA-PBE) data for a relaxed structure of Pm2PuSi, as listed in the Alexandria database.

Structure (extended XYZ):
```
4
Lattice="3.854 0.000 0.000 0.000 3.854 0.000 0.000 0.000 7.166" Properties=species:S:1:pos:R:3 pbc="T T T"
Si 1.927 1.927 0.000
Pm 0.000 0.000 5.654
Pm 0.000 0.000 1.513
Pu 1.927 1.927 3.583
```

Values from the calculation:
- ΔE to the lowest computed polymorph (meV/atom) = 46
- uncorrected formation energy (eV/atom) = -0.135
- crystal system = tetragonal
- total magnetization (μB per cell) = 6.61
- DOS at the Fermi energy (states/eV per atom) = 1.994



First-principles (GGA-PBE) data for a relaxed structure of PmPuSi, as listed in the Alexandria database.

Structure (extended XYZ):
```
3
Lattice="-1.701 2.908 1.551 -1.247 -2.729 3.748 4.157 2.402 0.057" Properties=species:S:1:pos:R:3 pbc="T T T"
Si 1.753 1.722 1.837
Pm -0.054 0.092 0.049
Pu -0.490 0.767 3.471
```

Values from the calculation:
- ΔE to the lowest computed polymorph (meV/atom) = 321
- uncorrected formation energy (eV/atom) = -0.132
- crystal system = trigonal
- total magnetization (μB per cell) = 5.97
- DOS at the Fermi energy (states/eV per atom) = 2.112



First-principles (GGA-PBE) data for a relaxed structure of PmPu3Si4, as listed in the Alexandria database.

Structure (extended XYZ):
```
8
Lattice="-3.357 0.881 -0.526 -1.384 -6.170 -1.506 0.730 1.091 8.882" Properties=species:S:1:pos:R:3 pbc="T T T"
Pm -1.679 0.441 -0.263
Pu -0.692 -3.085 -0.753
Pu -0.668 -0.632 3.205
Pu -3.343 -3.566 3.644
Si -1.465 -2.289 5.514
Si -2.546 -1.909 1.335
Si -3.059 -4.197 0.776
Si -0.952 -0.001 6.074
```

Values from the calculation:
- uncorrected formation energy (eV/atom) = -0.243
- crystal system = orthorhombic
- total magnetization (μB per cell) = 15.93
- DOS at the Fermi energy (states/eV per atom) = 2.849



First-principles (GGA-PBE) data for a relaxed structure of Pm2PuSi, as listed in the Alexandria database.

Structure (extended XYZ):
```
4
Lattice="5.270 0.000 0.000 2.635 4.564 0.000 2.635 1.521 4.303" Properties=species:S:1:pos:R:3 pbc="T T T"
Si 0.000 0.000 0.000
Pm 2.635 1.521 1.076
Pm 7.905 4.564 3.227
Pu 5.270 3.043 2.152
```

Values from the calculation:
- ΔE to the lowest computed polymorph (meV/atom) = 197
- uncorrected formation energy (eV/atom) = 0.016
- crystal system = cubic
- total magnetization (μB per cell) = 6.47
- DOS at the Fermi energy (states/eV per atom) = 4.380



First-principles (GGA-PBE) data for a relaxed structure of Pm12PuSi7, as listed in the Alexandria database.

Structure (extended XYZ):
```
20
Lattice="-3.296 -8.501 0.902 6.126 -0.132 -6.812 4.504 2.039 7.714" Properties=species:S:1:pos:R:3 pbc="T T T"
Pm 2.321 -6.329 4.663
Pm -0.527 -5.742 -0.360
Pm 1.140 -3.187 2.339
Pm 3.392 -6.186 0.699
Pm 2.813 -0.557 5.015
Pm 5.063 -3.578 3.439
Pm 2.271 -3.016 -1.635
Pm 4.521 -6.037 -3.211
Pm 3.942 -0.408 1.105
Pm 6.194 -3.407 -0.535
Pm 7.860 -0.852 2.164
Pm 5.013 -0.265 -2.860
Pu 0.000 0.000 0.000
Si 4.844 -6.474 3.217
Si -0.263 -2.847 -0.192
Si 1.385 -0.281 2.494
Si 3.667 -3.297 0.902
Si 5.949 -6.313 -0.690
Si 7.596 -3.746 1.995
Si 2.490 -0.120 -1.413
```

Values from the calculation:
- uncorrected formation energy (eV/atom) = -0.274
- crystal system = trigonal
- total magnetization (μB per cell) = 8.16
- DOS at the Fermi energy (states/eV per atom) = 1.535



First-principles (GGA-PBE) data for a relaxed structure of Pm2PuSi3, as listed in the Alexandria database.

Structure (extended XYZ):
```
12
Lattice="5.879 0.000 0.000 0.000 8.386 0.004 -2.939 -2.099 6.258" Properties=species:S:1:pos:R:3 pbc="T T T"
Pm 2.940 4.192 2.148
Pm 2.939 -0.001 2.146
Pm 0.000 6.288 4.116
Pm 0.000 2.095 4.114
Pu 5.878 6.290 0.003
Pu 0.001 2.097 0.001
Si 2.941 2.097 0.001
Si 2.938 6.290 0.003
Si 0.000 0.000 1.912
Si 2.939 2.094 4.348
Si 0.000 4.193 1.913
Si 2.940 6.287 4.350
```

Values from the calculation:
- uncorrected formation energy (eV/atom) = -0.319
- crystal system = orthorhombic
- total magnetization (μB per cell) = 9.37
- DOS at the Fermi energy (states/eV per atom) = 2.299



First-principles (GGA-PBE) data for a relaxed structure of Pm6PuSi4, as listed in the Alexandria database.

Structure (extended XYZ):
```
11
Lattice="4.034 0.000 0.000 0.000 9.235 0.000 0.000 -4.618 7.998" Properties=species:S:1:pos:R:3 pbc="T T T"
Pm 0.000 4.618 0.650
Pm 2.017 1.930 6.446
Pm 0.000 2.872 3.674
Pm 0.000 6.363 3.674
Pm 2.017 -1.930 6.446
Pm 2.017 0.000 3.103
Pu 0.000 0.000 0.000
Si 2.017 4.618 5.367
Si 2.017 2.278 1.315
Si 2.017 6.957 1.315
Si 0.000 0.000 5.332
```

Values from the calculation:
- uncorrected formation energy (eV/atom) = -0.376
- crystal system = hexagonal
- total magnetization (μB per cell) = 6.76
- DOS at the Fermi energy (states/eV per atom) = 1.648



First-principles (GGA-PBE) data for a relaxed structure of Pm2PuSi6, as listed in the Alexandria database.

Structure (extended XYZ):
```
9
Lattice="-3.371 -1.404 1.828 -2.870 -5.671 -5.089 0.891 -8.094 -0.013" Properties=species:S:1:pos:R:3 pbc="T T T"
Pm -4.145 -10.201 -1.796
Pm -1.205 -4.969 -1.478
Pu 0.000 0.000 0.000
Si -1.639 -6.594 1.034
Si -3.711 -8.576 -4.309
Si -1.237 -10.169 -0.970
Si -3.323 -7.168 -2.511
Si -2.028 -8.002 -0.763
Si -4.113 -5.001 -2.304
```

Values from the calculation:
- ΔE to the lowest computed polymorph (meV/atom) = 153
- uncorrected formation energy (eV/atom) = -0.400
- crystal system = orthorhombic
- total magnetization (μB per cell) = 5.80
- DOS at the Fermi energy (states/eV per atom) = 1.104



First-principles (GGA-PBE) data for a relaxed structure of PmPuSi2, as listed in the Alexandria database.

Structure (extended XYZ):
```
4
Lattice="4.337 0.000 -0.029 0.000 3.853 0.000 -2.132 0.000 5.470" Properties=species:S:1:pos:R:3 pbc="T T T"
Pm 1.036 0.000 5.425
Pu 1.015 1.926 2.268
Si -1.138 1.926 4.600
Si -1.148 0.000 3.082
```

Values from the calculation:
- uncorrected formation energy (eV/atom) = -0.578
- crystal system = orthorhombic
- total magnetization (μB per cell) = 6.27
- DOS at the Fermi energy (states/eV per atom) = 2.467



First-principles (GGA-PBE) data for a relaxed structure of PmPuSi4, as listed in the Alexandria database.

Structure (extended XYZ):
```
6
Lattice="-3.883 0.992 0.548 -0.588 -0.074 -4.030 -1.696 -6.848 0.374" Properties=species:S:1:pos:R:3 pbc="T T T"
Pm -5.863 -5.882 -1.084
Pu -5.309 -2.495 -3.286
Si -2.806 -0.725 -3.684
Si -3.928 -5.258 -3.436
Si -3.352 -4.076 -1.483
Si -2.796 -1.832 -1.606
```

Values from the calculation:
- ΔE to the lowest computed polymorph (meV/atom) = 0
- uncorrected formation energy (eV/atom) = -0.571
- crystal system = orthorhombic
- total magnetization (μB per cell) = 5.39
- DOS at the Fermi energy (states/eV per atom) = 1.546